Entry P
Material: HfZnInCo
Method: DFT, PBE
State: optimized geometry

abc: 4.512 4.512 4.512
angles: 60.00 60.00 60.00
Element x y z (fractional)
Co 0.750 0.750 0.750
Hf 0.500 0.500 0.500
In 0.000 0.000 0.000
Zn 0.250 0.250 0.250

space-group type = No. 216
total magnetization = 0.04 μB/cell

---

Entry Q
Material: HfZnInCo
Method: DFT, PBE
State: optimized geometry

abc: 4.541 4.541 4.541
angles: 60.00 60.00 60.00
Element x y z (fractional)
Co 0.750 0.750 0.750
Hf 0.250 0.250 0.250
In 0.000 0.000 0.000
Zn 0.500 0.500 0.500

space-group type = No. 216
total magnetization = 0.28 μB/cell

---

Verdict on stability: entry Q comes out at the bottom.